*P*
Computed, not measured: a relaxed Ca2ScNi crystal at the GGA-PBE level of DFT.

SG = P4/mmm

Structure (POSCAR):
```
Ca2ScNi
1.0
4.672 0.000 0.000
0.000 4.672 0.000
0.000 0.000 4.561
Ca Sc Ni
2 1 1
direct
0.000 0.500 0.000 Ca
0.500 0.000 0.000 Ca
0.000 0.000 0.500 Sc
0.500 0.500 0.500 Ni
```

*Q*
Computed, not measured: a relaxed Ca2ScNi crystal at the GGA-PBE level of DFT.

SG = R-3m

Structure (POSCAR):
```
Ca2ScNi
1.0
1.810 1.045 9.758
-1.810 1.045 9.758
0.000 -2.089 9.758
Ca Sc Ni
2 1 1
direct
0.229 0.229 0.229 Ca
0.771 0.771 0.771 Ca
0.000 0.000 0.000 Sc
0.500 0.500 0.500 Ni
```

*R*
Computed, not measured: a relaxed Ca2ScNi crystal at the GGA-PBE level of DFT.

SG = Pm

Structure (POSCAR):
```
Ca2ScNi
1.0
3.709 0.000 0.000
0.000 3.589 0.000
-1.847 0.000 8.438
Ca Sc Ni
2 1 1
direct
0.000 0.000 0.000 Ca
0.320 0.500 0.637 Ca
0.644 0.500 0.291 Sc
0.176 0.000 0.355 Ni
```

Which structure wins on stability? *R* wins.

*P*
Computed, not measured: a relaxed Ca2ScNi crystal at the GGA-PBE level of DFT.

SG = F-43m

Structure (POSCAR):
```
Ca2ScNi
1.0
0.000 3.637 3.637
3.637 0.000 3.637
3.637 3.637 0.000
Ca Sc Ni
2 1 1
direct
0.000 0.000 0.000 Ca
0.250 0.250 0.250 Ca
0.750 0.750 0.750 Sc
0.500 0.500 0.500 Ni
```

*Q*
Computed, not measured: a relaxed Ca2ScNi crystal at the GGA-PBE level of DFT.

SG = P4mm

Structure (POSCAR):
```
Ca2ScNi
1.0
3.421 0.000 0.000
0.000 3.421 0.000
0.000 0.000 9.089
Ca Sc Ni
2 1 1
direct
0.000 0.000 0.000 Ca
0.500 0.500 0.355 Ca
0.500 0.500 0.700 Sc
0.000 0.000 0.572 Ni
```

Which structure wins on stability? *Q* wins.

*P*
Computed, not measured: a relaxed Ca2ScNi crystal at the GGA-PBE level of DFT.

SG = Immm

Structure (POSCAR):
```
Ca2ScNi
1.0
-1.695 1.971 8.483
1.695 -1.971 8.483
1.695 1.971 -8.483
Ca Sc Ni
2 1 1
direct
0.159 0.159 0.000 Ca
0.841 0.841 0.000 Ca
0.500 0.000 0.500 Sc
0.000 0.500 0.500 Ni
```

*Q*
Computed, not measured: a relaxed Ca2ScNi crystal at the GGA-PBE level of DFT.

SG = I-42d

Structure (POSCAR):
```
Ca2ScNi
1.0
-5.123 5.123 2.423
5.123 -5.123 2.423
5.123 5.123 -2.423
Ca Sc Ni
4 2 2
direct
0.375 0.231 0.356 Ca
0.769 0.125 0.144 Ca
0.875 0.019 0.644 Ca
0.981 0.625 0.856 Ca
0.250 0.750 0.500 Sc
0.500 0.500 0.000 Sc
0.000 0.000 0.000 Ni
0.750 0.250 0.500 Ni
```

*R*
Computed, not measured: a relaxed Ca2ScNi crystal at the GGA-PBE level of DFT.

SG = Cmmm

Structure (POSCAR):
```
Ca2ScNi
1.0
2.432 -2.438 0.000
2.432 2.438 0.000
0.000 0.000 8.768
Ca Sc Ni
2 1 1
direct
0.000 0.000 0.191 Ca
0.000 0.000 0.809 Ca
0.500 0.500 0.500 Sc
0.500 0.500 0.000 Ni
```

*S*
Computed, not measured: a relaxed Ca2ScNi crystal at the GGA-PBE level of DFT.

SG = Fm-3m

Structure (POSCAR):
```
Ca2ScNi
1.0
0.000 3.690 3.690
3.690 0.000 3.690
3.690 3.690 0.000
Ca Sc Ni
2 1 1
direct
0.250 0.250 0.250 Ca
0.750 0.750 0.750 Ca
0.000 0.000 0.000 Sc
0.500 0.500 0.500 Ni
```

Which structure wins on stability? *P* wins.

*P*
Computed, not measured: a relaxed CaSc2Ni crystal at the GGA-PBE level of DFT.

SG = P4mm

Structure (POSCAR):
```
CaSc2Ni
1.0
3.367 0.000 0.000
0.000 3.367 0.000
0.000 0.000 8.167
Ca Sc Ni
1 2 1
direct
0.000 0.000 0.000 Ca
0.000 0.000 0.611 Sc
0.500 0.500 0.344 Sc
0.500 0.500 0.759 Ni
```

*Q*
Computed, not measured: a relaxed CaSc2Ni crystal at the GGA-PBE level of DFT.

SG = R-3m

Structure (POSCAR):
```
CaSc2Ni
1.0
1.623 0.937 10.593
-1.623 0.937 10.593
0.000 -1.874 10.593
Ca Sc Ni
1 2 1
direct
0.000 0.000 0.000 Ca
0.426 0.426 0.426 Sc
0.574 0.574 0.574 Sc
0.500 0.500 0.500 Ni
```

Which structure wins on stability? *P* wins.

*P*
Computed, not measured: a relaxed CaSc2Ni crystal at the GGA-PBE level of DFT.

SG = Fm-3m

Structure (POSCAR):
```
CaSc2Ni
1.0
0.000 3.485 3.485
3.485 0.000 3.485
3.485 3.485 0.000
Ca Sc Ni
1 2 1
direct
0.000 0.000 0.000 Ca
0.250 0.250 0.250 Sc
0.750 0.750 0.750 Sc
0.500 0.500 0.500 Ni
```

*Q*
Computed, not measured: a relaxed CaSc2Ni crystal at the GGA-PBE level of DFT.

SG = F-43m

Structure (POSCAR):
```
CaSc2Ni
1.0
0.000 3.527 3.527
3.527 0.000 3.527
3.527 3.527 0.000
Ca Sc Ni
1 2 1
direct
0.000 0.000 0.000 Ca
0.500 0.500 0.500 Sc
0.750 0.750 0.750 Sc
0.250 0.250 0.250 Ni
```

Which structure wins on stability? *P* wins.

*P*
Computed, not measured: a relaxed CaSc2Ni crystal at the GGA-PBE level of DFT.

SG = Immm

Structure (POSCAR):
```
CaSc2Ni
1.0
-1.676 2.646 5.212
1.676 -2.646 5.212
1.676 2.646 -5.212
Ca Sc Ni
1 2 1
direct
0.000 0.000 0.000 Ca
0.308 0.808 0.500 Sc
0.692 0.192 0.500 Sc
0.500 0.500 0.000 Ni
```

*Q*
Computed, not measured: a relaxed CaSc2Ni crystal at the GGA-PBE level of DFT.

SG = R3m

Structure (POSCAR):
```
CaSc2Ni
1.0
1.747 1.009 9.280
-1.747 1.009 9.280
0.000 -2.017 9.280
Ca Sc Ni
1 2 1
direct
0.000 0.000 0.000 Ca
0.540 0.540 0.540 Sc
0.778 0.778 0.778 Sc
0.262 0.262 0.262 Ni
```

*R*
Computed, not measured: a relaxed CaSc2Ni crystal at the GGA-PBE level of DFT.

SG = I-42d

Structure (POSCAR):
```
CaSc2Ni
1.0
-3.999 3.999 3.068
3.999 -3.999 3.068
3.999 3.999 -3.068
Ca Sc Ni
2 4 2
direct
0.000 0.000 0.000 Ca
0.750 0.250 0.500 Ca
0.210 0.625 0.085 Sc
0.375 0.460 0.585 Sc
0.540 0.125 0.915 Sc
0.875 0.790 0.415 Sc
0.250 0.750 0.500 Ni
0.500 0.500 0.000 Ni
```

Which structure wins on stability? *P* wins.

*P*
Computed, not measured: a relaxed CaSc2Ni crystal at the GGA-PBE level of DFT.

SG = I4/mmm

Structure (POSCAR):
```
CaSc2Ni
1.0
-2.109 2.109 5.043
2.109 -2.109 5.043
2.109 2.109 -5.043
Ca Sc Ni
1 2 1
direct
0.000 0.000 0.000 Ca
0.250 0.750 0.500 Sc
0.750 0.250 0.500 Sc
0.500 0.500 0.000 Ni
```

*Q*
Computed, not measured: a relaxed CaSc2Ni crystal at the GGA-PBE level of DFT.

SG = Pmmm

Structure (POSCAR):
```
CaSc2Ni
1.0
3.782 0.000 0.000
0.000 4.790 0.000
0.000 0.000 4.846
Ca Sc Ni
1 2 1
direct
0.000 0.000 0.000 Ca
0.000 0.500 0.500 Sc
0.500 0.000 0.500 Sc
0.500 0.500 0.000 Ni
```

Which structure wins on stability? *Q* wins.

*P*
Computed, not measured: a relaxed CaSc2Ni crystal at the GGA-PBE level of DFT.

SG = I-4m2

Structure (POSCAR):
```
CaSc2Ni
1.0
-2.115 2.115 4.909
2.115 -2.115 4.909
2.115 2.115 -4.909
Ca Sc Ni
1 2 1
direct
0.000 0.000 0.000 Ca
0.500 0.500 0.000 Sc
0.750 0.250 0.500 Sc
0.250 0.750 0.500 Ni
```

*Q*
Computed, not measured: a relaxed CaSc2Ni crystal at the GGA-PBE level of DFT.

SG = Cm

Structure (POSCAR):
```
CaSc2Ni
1.0
5.874 -1.710 0.000
5.874 1.710 0.000
-2.151 0.000 4.579
Ca Sc Ni
1 2 1
direct
0.000 0.000 0.000 Ca
0.613 0.613 0.611 Sc
0.801 0.801 0.302 Sc
0.284 0.284 0.739 Ni
```

Which structure wins on stability? *Q* wins.